# 1
# Ca2CdSb | the Alexandria database | GGA-PBE | optimized geometry
data_Ca2CdSb
_chemical_formula_sum 'Ca8 Cd4 Sb4'
_space_group_name_H-M_alt 'F -4 3 m'
_space_group_IT_number 216
_space_group_name_Hall 'F -4 2 3'
_cell_length_a 7.827
_cell_length_b 7.827
_cell_length_c 7.827
_cell_angle_alpha 90.00
_cell_angle_beta 90.00
_cell_angle_gamma 90.00
loop_
_atom_site_label
_atom_site_type_symbol
_atom_site_fract_x
_atom_site_fract_y
_atom_site_fract_z
_atom_site_occupancy
Ca1 Ca 0.000 0.000 0.000 1
Ca2 Ca 0.250 0.250 0.250 1
Cd1 Cd 0.000 0.000 0.500 1
Sb1 Sb 0.250 0.250 0.750 1
# E_form (uncorrected) = -0.25 eV per atom
# E_tot = -2.51 eV/atom
# Energy above the most stable polymorph in this dataset = 440.7 meV/atom
# Total magnetization = 0.000 μB per atom

***

# 2
# CaCd2Sb | the Alexandria database | GGA-PBE | optimized geometry
data_CaCd2Sb
_chemical_formula_sum 'Ca1 Cd2 Sb1'
_space_group_name_H-M_alt 'P 4 m m'
_space_group_IT_number 99
_cell_length_a 3.871
_cell_length_b 3.871
_cell_length_c 7.110
_cell_angle_alpha 90.00
_cell_angle_beta 90.00
_cell_angle_gamma 90.00
loop_
_space_group_symop_operation_xyz
'x,y,z'
'-y,x,z'
'-x,-y,z'
'y,-x,z'
'-x,y,z'
'y,x,z'
'x,-y,z'
'-y,-x,z'
loop_
_atom_site_label
_atom_site_type_symbol
_atom_site_fract_x
_atom_site_fract_y
_atom_site_fract_z
_atom_site_occupancy
Ca1 Ca 0.000 0.000 0.000 1
Cd1 Cd 0.000 0.000 0.499 1
Cd2 Cd 0.500 0.500 0.286 1
Sb1 Sb 0.500 0.500 0.735 1
# E_form (uncorrected) = -0.28 eV per atom
# E_tot = -2.26 eV/atom
# Total magnetization = 0.000 μB per atom

***

# 3
# Ca2CdSb | the Alexandria database | GGA-PBE | optimized geometry
data_Ca2CdSb
_chemical_formula_sum 'Ca8 Cd4 Sb4'
_space_group_name_H-M_alt 'F m -3 m'
_space_group_IT_number 225
_space_group_name_Hall '-F 4 2 3'
_cell_length_a 7.718
_cell_length_b 7.718
_cell_length_c 7.718
_cell_angle_alpha 90.00
_cell_angle_beta 90.00
_cell_angle_gamma 90.00
loop_
_atom_site_label
_atom_site_type_symbol
_atom_site_fract_x
_atom_site_fract_y
_atom_site_fract_z
_atom_site_occupancy
Ca1 Ca 0.250 0.250 0.250 1
Cd1 Cd 0.000 0.000 0.000 1
Sb1 Sb 0.000 0.000 0.500 1
# E_form (uncorrected) = -0.62 eV per atom
# E_tot = -2.88 eV/atom
# Energy above the most stable polymorph in this dataset = 76.0 meV/atom
# Total magnetization = 0.000 μB per atom

***

# 4
# CaCdSb2 | the Alexandria database | GGA-PBE | optimized geometry
data_CaCdSb2
_chemical_formula_sum 'Ca1 Cd1 Sb2'
_space_group_name_H-M_alt 'P 4 m m'
_space_group_IT_number 99
_cell_length_a 3.279
_cell_length_b 3.279
_cell_length_c 10.481
_cell_angle_alpha 90.00
_cell_angle_beta 90.00
_cell_angle_gamma 90.00
loop_
_space_group_symop_operation_xyz
'x,y,z'
'-y,x,z'
'-x,-y,z'
'y,-x,z'
'-x,y,z'
'y,x,z'
'x,-y,z'
'-y,-x,z'
loop_
_atom_site_label
_atom_site_type_symbol
_atom_site_fract_x
_atom_site_fract_y
_atom_site_fract_z
_atom_site_occupancy
Ca1 Ca 0.000 0.000 0.000 1
Cd1 Cd 0.500 0.500 0.230 1
Sb1 Sb 0.000 0.000 0.447 1
Sb2 Sb 0.500 0.500 0.774 1
# E_form (uncorrected) = -0.17 eV per atom
# E_tot = -2.96 eV/atom
# Total magnetization = 0.000 μB per atom

***

# 5
# Ca2CdSb | the Alexandria database | GGA-PBE | optimized geometry
data_Ca2CdSb
_chemical_formula_sum 'Ca4 Cd2 Sb2'
_space_group_name_H-M_alt 'I m m 2'
_space_group_IT_number 44
_cell_length_a 4.298
_cell_length_b 4.783
_cell_length_c 11.447
_cell_angle_alpha 90.00
_cell_angle_beta 90.00
_cell_angle_gamma 90.00
loop_
_space_group_symop_operation_xyz
'x,y,z'
'-x,-y,z'
'-x,y,z'
'x,-y,z'
'x+1/2,y+1/2,z+1/2'
'-x+1/2,-y+1/2,z+1/2'
'-x+1/2,y+1/2,z+1/2'
'x+1/2,-y+1/2,z+1/2'
loop_
_atom_site_label
_atom_site_type_symbol
_atom_site_fract_x
_atom_site_fract_y
_atom_site_fract_z
_atom_site_occupancy
Ca1 Ca 0.000 0.000 0.000 1
Ca2 Ca 0.000 0.500 0.235 1
Cd1 Cd 0.000 0.000 0.461 1
Sb1 Sb 0.000 0.500 0.762 1
# E_form (uncorrected) = -0.54 eV per atom
# E_tot = -2.80 eV/atom
# Energy above the most stable polymorph in this dataset = 149.5 meV/atom
# Total magnetization = 0.000 μB per atom

***

# 6
# Ca3CdSb | the Alexandria database | GGA-PBE | optimized geometry
data_Ca3CdSb
_chemical_formula_sum 'Ca3 Cd1 Sb1'
_space_group_name_H-M_alt 'P m -3 m'
_space_group_IT_number 221
_space_group_name_Hall '-P 4 2 3'
_cell_length_a 5.909
_cell_length_b 5.909
_cell_length_c 5.909
_cell_angle_alpha 90.00
_cell_angle_beta 90.00
_cell_angle_gamma 90.00
loop_
_atom_site_label
_atom_site_type_symbol
_atom_site_fract_x
_atom_site_fract_y
_atom_site_fract_z
_atom_site_occupancy
Ca1 Ca 0.000 0.000 0.500 1
Cd1 Cd 0.500 0.500 0.500 1
Sb1 Sb 0.000 0.000 0.000 1
# E_form (uncorrected) = -0.29 eV per atom
# E_tot = -2.50 eV/atom
# Energy above the most stable polymorph in this dataset = 0.0 meV/atom
# Total magnetization = 0.000 μB per atom

***

# 7
# CaCd3Sb | the Alexandria database | GGA-PBE | optimized geometry
data_CaCd3Sb
_chemical_formula_sum 'Ca1 Cd3 Sb1'
_space_group_name_H-M_alt 'P m -3 m'
_space_group_IT_number 221
_space_group_name_Hall '-P 4 2 3'
_cell_length_a 5.612
_cell_length_b 5.612
_cell_length_c 5.612
_cell_angle_alpha 90.00
_cell_angle_beta 90.00
_cell_angle_gamma 90.00
loop_
_atom_site_label
_atom_site_type_symbol
_atom_site_fract_x
_atom_site_fract_y
_atom_site_fract_z
_atom_site_occupancy
Ca1 Ca 0.000 0.000 0.000 1
Cd1 Cd 0.000 0.500 0.500 1
Sb1 Sb 0.500 0.500 0.500 1
# E_form (uncorrected) = 0.23 eV per atom
# E_tot = -1.54 eV/atom
# Energy above the most stable polymorph in this dataset = 0.0 meV/atom
# Total magnetization = 0.000 μB per atom

***

# 8
# CaCdSb2 | the Alexandria database | GGA-PBE | optimized geometry
data_CaCdSb2
_chemical_formula_sum 'Ca4 Cd4 Sb8'
_space_group_name_H-M_alt 'F -4 3 m'
_space_group_IT_number 216
_space_group_name_Hall 'F -4 2 3'
_cell_length_a 7.645
_cell_length_b 7.645
_cell_length_c 7.645
_cell_angle_alpha 90.00
_cell_angle_beta 90.00
_cell_angle_gamma 90.00
loop_
_atom_site_label
_atom_site_type_symbol
_atom_site_fract_x
_atom_site_fract_y
_atom_site_fract_z
_atom_site_occupancy
Ca1 Ca 0.000 0.000 0.000 1
Cd1 Cd 0.250 0.250 0.750 1
Sb1 Sb 0.000 0.000 0.500 1
Sb2 Sb 0.250 0.250 0.250 1
# E_form (uncorrected) = -0.20 eV per atom
# E_tot = -2.99 eV/atom
# Total magnetization = 0.000 μB per atom